Entry from Alexandria: HfBe2Ru2 after structural relaxation (PBE).

a b c (Å): 6.4560 6.4560 3.0478
angles (deg): 90.00 90.00 90.00
Space group P4/mbm (No. 127)
Unique sites:
Hf (0.0000, 0.0000, 0.0000) x2
Be (0.1155, 0.3845, 0.0000) x4
Ru (0.1698, 0.6698, 0.5000) x4

Output
Volume ... 127 Å³/cell
Calculated formation energy ... -11.88 kcal/mol of atoms
Total magnetic moment ... 0.0 Bohr magnetons per cell